Record 1
DFT (PBEsol) results for a geometry-optimized ZnHg2Cl structure.

The structure in CIF format:
```
data_ZnHg2Cl
_cell_length_a 6.4064
_cell_length_b 3.7231
_cell_length_c 7.7216
_cell_angle_alpha 90.00
_cell_angle_beta 106.26
_cell_angle_gamma 90.00
_space_group_name_H-M_alt 'C 1 2/m 1'
_space_group_IT_number 12
loop_
_space_group_symop_operation_xyz
'x,y,z'
'-x,-y,-z'
'-x,y,-z'
'x,-y,z'
'x+1/2,y+1/2,z'
'-x+1/2,-y+1/2,-z'
'-x+1/2,y+1/2,-z'
'x+1/2,-y+1/2,z'
loop_
_atom_site_label
_atom_site_type_symbol
_atom_site_fract_x
_atom_site_fract_y
_atom_site_fract_z
Zn1 Zn 0.0000 0.0000 0.0000
Hg1 Hg 0.2426 0.5000 0.2265
Cl1 Cl 0.0000 0.5000 0.5000
```

Properties
**Uncorrected energy**: -5.4 eV/f.u.
**DOS(E_F)**: 1.4 states/eV per cell
**Energy above the most stable polymorph in this dataset**: 0.00 kJ/mol of atoms

Record 2
DFT (PBEsol) results for a geometry-optimized ZnHg2Cl structure.

The structure in CIF format:
```
data_ZnHg2Cl
_cell_length_a 3.2852
_cell_length_b 3.2852
_cell_length_c 7.5664
_cell_angle_alpha 90.00
_cell_angle_beta 90.00
_cell_angle_gamma 90.00
_space_group_name_H-M_alt 'P 4/m m m'
_space_group_IT_number 123
_space_group_name_Hall '-P 4 2'
loop_
_atom_site_label
_atom_site_type_symbol
_atom_site_fract_x
_atom_site_fract_y
_atom_site_fract_z
Zn1 Zn 0.0000 0.0000 0.0000
Hg1 Hg 0.5000 0.5000 0.2311
Cl1 Cl 0.0000 0.0000 0.5000
```

Properties
**Uncorrected energy**: -5.1 eV/f.u.
**DOS(E_F)**: 1.0 states/eV per cell
**Energy above the most stable polymorph in this dataset**: 8.85 kJ/mol of atoms

Record 3
DFT (PBEsol) results for a geometry-optimized ZrHgCl2 structure.

The structure in CIF format:
```
data_ZrHgCl2
_cell_length_a 6.2198
_cell_length_b 9.1661
_cell_length_c 3.2237
_cell_angle_alpha 90.00
_cell_angle_beta 118.11
_cell_angle_gamma 90.00
_space_group_name_H-M_alt 'C 1 2/m 1'
_space_group_IT_number 12
loop_
_space_group_symop_operation_xyz
'x,y,z'
'-x,-y,-z'
'-x,y,-z'
'x,-y,z'
'x+1/2,y+1/2,z'
'-x+1/2,-y+1/2,-z'
'-x+1/2,y+1/2,-z'
'x+1/2,-y+1/2,z'
loop_
_atom_site_label
_atom_site_type_symbol
_atom_site_fract_x
_atom_site_fract_y
_atom_site_fract_z
Zr1 Zr 0.0000 0.0000 0.0000
Hg1 Hg 0.0000 0.5000 0.0000
Cl1 Cl 0.2500 0.2500 0.0000
```

Properties
**Uncorrected energy**: -15.7 eV/f.u.
**DOS(E_F)**: 3.5 states/eV per cell
**Energy above the most stable polymorph in this dataset**: 63.78 kJ/mol of atoms

Record 4
DFT (PBEsol) results for a geometry-optimized ZrHgCl2 structure.

The structure in CIF format:
```
data_ZrHgCl2
_cell_length_a 6.9141
_cell_length_b 6.9141
_cell_length_c 6.9141
_cell_angle_alpha 90.00
_cell_angle_beta 90.00
_cell_angle_gamma 90.00
_space_group_name_H-M_alt 'F -4 3 m'
_space_group_IT_number 216
_space_group_name_Hall 'F -4 2 3'
loop_
_atom_site_label
_atom_site_type_symbol
_atom_site_fract_x
_atom_site_fract_y
_atom_site_fract_z
Zr1 Zr 0.0000 0.0000 0.0000
Hg1 Hg 0.2500 0.2500 0.2500
Cl1 Cl 0.0000 0.0000 0.5000
Cl2 Cl 0.2500 0.2500 0.7500
```

Properties
**Uncorrected energy**: -14.4 eV/f.u.
**DOS(E_F)**: 14.8 states/eV per cell
**Energy above the most stable polymorph in this dataset**: 95.80 kJ/mol of atoms

Record 5
DFT (PBEsol) results for a geometry-optimized ZrHgCl2 structure.

The structure in CIF format:
```
data_ZrHgCl2
_cell_length_a 3.1589
_cell_length_b 4.3430
_cell_length_c 13.5747
_cell_angle_alpha 90.00
_cell_angle_beta 90.00
_cell_angle_gamma 90.00
_space_group_name_H-M_alt 'I m m 2'
_space_group_IT_number 44
loop_
_space_group_symop_operation_xyz
'x,y,z'
'-x,-y,z'
'-x,y,z'
'x,-y,z'
'x+1/2,y+1/2,z+1/2'
'-x+1/2,-y+1/2,z+1/2'
'-x+1/2,y+1/2,z+1/2'
'x+1/2,-y+1/2,z+1/2'
loop_
_atom_site_label
_atom_site_type_symbol
_atom_site_fract_x
_atom_site_fract_y
_atom_site_fract_z
Zr1 Zr 0.0000 0.0000 0.0000
Hg1 Hg 0.0000 0.5000 0.6965
Cl1 Cl 0.0000 0.0000 0.5282
Cl2 Cl 0.0000 0.5000 0.3539
```

Properties
**Uncorrected energy**: -17.0 eV/f.u.
**DOS(E_F)**: 4.9 states/eV per cell
**Energy above the most stable polymorph in this dataset**: 33.60 kJ/mol of atoms

Record 6
DFT (PBEsol) results for a geometry-optimized ZrHgCl2 structure.

The structure in CIF format:
```
data_ZrHgCl2
_cell_length_a 3.3184
_cell_length_b 4.5017
_cell_length_c 5.3436
_cell_angle_alpha 90.00
_cell_angle_beta 90.00
_cell_angle_gamma 90.00
_space_group_name_H-M_alt 'P m m m'
_space_group_IT_number 47
loop_
_space_group_symop_operation_xyz
'x,y,z'
'-x,-y,-z'
'-x,-y,z'
'x,y,-z'
'x,-y,-z'
'-x,y,z'
'-x,y,-z'
'x,-y,z'
loop_
_atom_site_label
_atom_site_type_symbol
_atom_site_fract_x
_atom_site_fract_y
_atom_site_fract_z
Zr1 Zr 0.0000 0.0000 0.0000
Hg1 Hg 0.5000 0.0000 0.5000
Cl1 Cl 0.0000 0.5000 0.5000
Cl2 Cl 0.5000 0.5000 0.0000
```

Properties
**Uncorrected energy**: -15.5 eV/f.u.
**DOS(E_F)**: 2.0 states/eV per cell
**Energy above the most stable polymorph in this dataset**: 69.16 kJ/mol of atoms

Record 7
DFT (PBEsol) results for a geometry-optimized ZrHgCl structure.

The structure in CIF format:
```
data_ZrHgCl
_cell_length_a 6.3655
_cell_length_b 6.3655
_cell_length_c 6.3655
_cell_angle_alpha 90.00
_cell_angle_beta 90.00
_cell_angle_gamma 90.00
_space_group_name_H-M_alt 'F -4 3 m'
_space_group_IT_number 216
_space_group_name_Hall 'F -4 2 3'
loop_
_atom_site_label
_atom_site_type_symbol
_atom_site_fract_x
_atom_site_fract_y
_atom_site_fract_z
Zr1 Zr 0.0000 0.0000 0.0000
Hg1 Hg 0.0000 0.0000 0.5000
Cl1 Cl 0.2500 0.2500 0.7500
```

Properties
**Uncorrected energy**: -11.5 eV/f.u.
**DOS(E_F)**: 10.1 states/eV per cell
**Energy above the most stable polymorph in this dataset**: 45.82 kJ/mol of atoms

Record 8
DFT (PBEsol) results for a geometry-optimized ZrHgCl structure.

The structure in CIF format:
```
data_ZrHgCl
_cell_length_a 4.5021
_cell_length_b 4.5021
_cell_length_c 3.4570
_cell_angle_alpha 90.00
_cell_angle_beta 90.00
_cell_angle_gamma 120.00
_space_group_name_H-M_alt 'P -6 m 2'
_space_group_IT_number 187
_space_group_name_Hall 'P -6 2'
loop_
_atom_site_label
_atom_site_type_symbol
_atom_site_fract_x
_atom_site_fract_y
_atom_site_fract_z
Zr1 Zr 0.0000 0.0000 0.0000
Hg1 Hg 0.3333 0.6667 0.5000
Cl1 Cl 0.6667 0.3333 0.0000
```

Properties
**Uncorrected energy**: -13.0 eV/f.u.
**DOS(E_F)**: 1.7 states/eV per cell
**Energy above the most stable polymorph in this dataset**: 0.00 kJ/mol of atoms